(1)
Pr4Sm2ErMg GGA-PBE relaxed; space-group type = P4/mmm (123); ΔH_f (0 K) = 4 meV/atom
1.0
-5.008 -0.969 -0.387
-0.491 0.516 5.064
-2.318 10.417 3.880
Pr Sm Mg Er
4 2 1 1
direct
0.500 0.752 0.248
0.000 0.253 0.247
0.500 0.248 0.752
0.000 0.747 0.753
0.500 0.000 0.500
0.000 0.000 0.000
0.500 0.500 0.000
0.000 0.500 0.500

***

(2)
PmAs2Pd5 GGA-PBE relaxed; space-group type = Immm (71); ΔH_f (0 K) = -636 meV/atom
1.0
-0.013 -1.696 -3.773
5.956 -1.492 -1.617
0.898 -6.262 0.544
Pd As Pm
5 2 1
direct
0.351 0.843 0.456
0.351 0.456 0.843
0.000 0.500 0.500
0.649 0.544 0.157
0.649 0.157 0.544
0.745 0.755 0.755
0.255 0.245 0.245
0.000 0.000 0.000

***

(3)
RbTlAgI4 GGA-PBE relaxed; raw total energy = -2.427 eV per atom; space-group type = P2_1/m (11)
1.0
8.911 0.000 0.156
0.000 6.795 0.000
-3.275 0.000 9.767
Ag I Rb Tl
2 8 2 2
direct
0.272 0.750 0.313
0.728 0.250 0.687
0.423 0.750 0.109
0.577 0.250 0.891
0.999 0.007 0.231
0.001 0.993 0.769
0.001 0.507 0.769
0.416 0.750 0.595
0.999 0.493 0.231
0.584 0.250 0.405
0.747 0.750 0.433
0.253 0.250 0.567
0.693 0.750 0.924
0.307 0.250 0.076

***

(4)
Al2PbBr GGA-PBE relaxed; raw total energy = -3.028 eV per atom; space-group type = C2/m (12)
1.0
5.601 -0.033 -0.100
-2.589 5.662 -0.070
0.422 1.044 3.154
Al Br Pb
2 1 1
direct
0.500 0.000 0.500
0.000 0.000 0.000
0.000 0.500 0.500
0.500 0.500 0.000

***

Computed DOS(E_F) (states/eV/cell) in order:
10.4; 4.2; 3.8; 1.5
Computed spin magnetization (μB/f.u.) in order:
0.000; 0.000; 0.000; 0.000